Entry 1:
Here is a crystal of SiTeOs2 relaxed with PBEsol from Alexandria via LeMat-Bulk. Energies are from meta-GGA SCAN.

```
SiTeOs2
1.0
-2.1558 2.1558 3.2821
2.1558 -2.1558 3.2821
2.1558 2.1558 -3.2821
Si Te Os
1 1 2
direct
0.0000 0.0000 0.0000
0.5000 0.5000 0.0000
0.2500 0.7500 0.5000
0.7500 0.2500 0.5000
```

Computed properties:
E_form (uncorrected), meV per atom: 585
Size of the total moment, μB/f.u.: 0.00
Calculated total energy, Ha/atom: -1.734
E above lowest polymorph, meV per atom: 0
Calculated density, Mg/m³: 14.6

***

Entry 2:
Here is a crystal of SiTe2Os relaxed with PBEsol from Alexandria via LeMat-Bulk. Energies are from meta-GGA SCAN.

```
SiTe2Os
1.0
3.2484 0.0000 0.0000
0.0000 3.2484 0.0000
0.0000 0.0000 7.7819
Si Te Os
1 2 1
direct
0.0000 0.0000 0.0000
0.0000 0.0000 0.6191
0.5000 0.5000 0.2319
0.5000 0.5000 0.8810
```

Computed properties:
E_form (uncorrected), meV per atom: 381
Size of the total moment, μB/f.u.: 0.35
Calculated total energy, Ha/atom: -1.423
Calculated density, Mg/m³: 9.6

***

Entry 3:
Here is a crystal of Si2TeOs relaxed with PBEsol from Alexandria via LeMat-Bulk. Energies are from meta-GGA SCAN.

```
Si2TeOs
1.0
-2.3094 2.3094 3.0655
2.3094 -2.3094 3.0655
2.3094 2.3094 -3.0655
Si Te Os
2 1 1
direct
0.0000 0.0000 0.0000
0.7500 0.2500 0.5000
0.5000 0.5000 0.0000
0.2500 0.7500 0.5000
```

Computed properties:
E_form (uncorrected), meV per atom: 772
Size of the total moment, μB/f.u.: 0.00
Calculated total energy, Ha/atom: -1.158
Calculated density, Mg/m³: 9.5

***

Entry 4:
Here is a crystal of TlSiOs2 relaxed with PBEsol from Alexandria via LeMat-Bulk. Energies are from meta-GGA SCAN.

```
TlSiOs2
1.0
-1.4264 2.4551 4.4606
1.4264 -2.4551 4.4606
1.4264 2.4551 -4.4606
Tl Si Os
1 1 2
direct
0.0000 0.0000 0.0000
0.5000 0.5000 0.0000
0.2830 0.7830 0.5000
0.7170 0.2170 0.5000
```

Computed properties:
E_form (uncorrected), meV per atom: 619
Size of the total moment, μB/f.u.: 0.00
Calculated total energy, Ha/atom: -2.055
E above lowest polymorph, meV per atom: 137
Calculated density, Mg/m³: 16.3

***

Entry 5:
Here is a crystal of Tl2SiOs relaxed with PBEsol from Alexandria via LeMat-Bulk. Energies are from meta-GGA SCAN.

```
Tl2SiOs
1.0
1.5532 -2.5620 0.0000
1.5532 2.5620 0.0000
0.0000 0.0000 9.8252
Tl Si Os
2 1 1
direct
0.0000 0.0000 0.2356
0.0000 0.0000 0.7644
0.5000 0.5000 0.5000
0.5000 0.5000 0.0000
```

Computed properties:
E_form (uncorrected), meV per atom: 1117
Size of the total moment, μB/f.u.: 0.00
Calculated total energy, Ha/atom: -2.041
E above lowest polymorph, meV per atom: 7
Calculated density, Mg/m³: 13.3

***

Entry 6:
Here is a crystal of TlSiOs2 relaxed with PBEsol from Alexandria via LeMat-Bulk. Energies are from meta-GGA SCAN.

```
TlSiOs2
1.0
4.2584 -1.4376 0.0000
4.2584 1.4376 0.0000
-1.0319 0.0000 5.8618
Tl Si Os
1 1 2
direct
0.0000 0.0000 0.0000
0.1772 0.1772 0.5734
0.4548 0.4548 0.5668
0.7557 0.7557 0.2855
```

Computed properties:
E_form (uncorrected), meV per atom: 544
Size of the total moment, μB/f.u.: 0.00
Calculated total energy, Ha/atom: -2.058
E above lowest polymorph, meV per atom: 62
Calculated density, Mg/m³: 14.2

***

Entry 7:
Here is a crystal of Tl2SiOs relaxed with PBEsol from Alexandria via LeMat-Bulk. Energies are from meta-GGA SCAN.

```
Tl2SiOs
1.0
2.8228 -4.8218 0.0000
2.8228 4.8218 0.0000
-1.7937 0.0000 2.8129
Tl Si Os
2 1 1
direct
0.0000 0.5000 0.0000
0.5000 0.0000 0.0000
0.0000 0.0000 0.5000
0.5000 0.5000 0.5000
```

Computed properties:
E_form (uncorrected), meV per atom: 1110
Size of the total moment, μB/f.u.: 0.00
Calculated total energy, Ha/atom: -2.041
E above lowest polymorph, meV per atom: 0
Calculated density, Mg/m³: 13.6

***

Entry 8:
Here is a crystal of TlSiOs3 relaxed with PBEsol from Alexandria via LeMat-Bulk. Energies are from meta-GGA SCAN.

```
TlSiOs3
1.0
4.4055 0.0000 0.0000
0.0000 4.4055 0.0000
0.0000 0.0000 4.4055
Tl Si Os
1 1 3
direct
0.0000 0.0000 0.0000
0.5000 0.5000 0.5000
0.0000 0.5000 0.5000
0.5000 0.0000 0.5000
0.5000 0.5000 0.0000
```

Computed properties:
E_form (uncorrected), meV per atom: 1275
Size of the total moment, μB/f.u.: 0.93
Calculated total energy, Ha/atom: -2.144
Calculated density, Mg/m³: 15.6

***

Entry 9:
Here is a crystal of Tl2SiOs relaxed with PBEsol from Alexandria via LeMat-Bulk. Energies are from meta-GGA SCAN.

```
Tl2SiOs
1.0
-2.1535 2.1535 4.0381
2.1535 -2.1535 4.0381
2.1535 2.1535 -4.0381
Tl Si Os
2 1 1
direct
0.0000 0.0000 0.0000
0.7500 0.2500 0.5000
0.2500 0.7500 0.5000
0.5000 0.5000 0.0000
```

Computed properties:
E_form (uncorrected), meV per atom: 1124
Size of the total moment, μB/f.u.: 0.00
Calculated total energy, Ha/atom: -2.041
E above lowest polymorph, meV per atom: 14
Calculated density, Mg/m³: 13.9

***

Entry 10:
Here is a crystal of TlSiOs2 relaxed with PBEsol from Alexandria via LeMat-Bulk. Energies are from meta-GGA SCAN.

```
TlSiOs2
1.0
2.8336 0.0000 0.0000
0.0000 2.8336 0.0000
0.0000 0.0000 8.3356
Tl Si Os
1 1 2
direct
0.0000 0.0000 0.0000
0.5000 0.5000 0.6848
0.0000 0.0000 0.4822
0.5000 0.5000 0.2801
```

Computed properties:
E_form (uncorrected), meV per atom: 483
Size of the total moment, μB/f.u.: 0.00
Calculated total energy, Ha/atom: -2.060
E above lowest polymorph, meV per atom: 0
Calculated density, Mg/m³: 15.2

***

Entry 11:
Here is a crystal of TlSi2Os relaxed with PBEsol from Alexandria via LeMat-Bulk. Energies are from meta-GGA SCAN.

```
TlSi2Os
1.0
2.6957 -3.7657 0.0000
2.6957 3.7657 0.0000
-0.0166 0.0000 3.1726
Tl Si Os
1 2 1
direct
0.0000 0.0000 0.0000
0.0000 0.5000 0.5000
0.5000 0.0000 0.5000
0.5000 0.5000 0.0000
```

Computed properties:
E_form (uncorrected), meV per atom: 898
Size of the total moment, μB/f.u.: 0.00
Calculated total energy, Ha/atom: -1.476
E above lowest polymorph, meV per atom: 0
Calculated density, Mg/m³: 11.6

***

Entry 12:
Here is a crystal of TlSi2Os relaxed with PBEsol from Alexandria via LeMat-Bulk. Energies are from meta-GGA SCAN.

```
TlSi2Os
1.0
-2.0363 2.0363 3.8701
2.0363 -2.0363 3.8701
2.0363 2.0363 -3.8701
Tl Si Os
1 2 1
direct
0.0000 0.0000 0.0000
0.2500 0.7500 0.5000
0.5000 0.5000 0.0000
0.7500 0.2500 0.5000
```

Computed properties:
E_form (uncorrected), meV per atom: 1010
Size of the total moment, μB/f.u.: 0.00
Calculated total energy, Ha/atom: -1.472
E above lowest polymorph, meV per atom: 113
Calculated density, Mg/m³: 11.7